(1)
Tb5Bi2Pb | the Alexandria database | PBE | relaxed; total moment = 0.00 μB/atom; SG = Cmcm, No. 63; total energy = -4.6276 eV/atom; calculated formation energy = -300 meV per atom; V = 512.3 Å³/cell
1.0
3.007 -5.877 0.000
3.007 5.877 0.000
0.000 0.000 14.493
Tb Bi Pb
10 4 2
Direct
0.075 0.925 0.602
0.075 0.925 0.898
0.379 0.621 0.550
0.379 0.621 0.950
0.413 0.587 0.250
0.587 0.413 0.750
0.621 0.379 0.050
0.621 0.379 0.450
0.925 0.075 0.102
0.925 0.075 0.398
0.197 0.803 0.112
0.197 0.803 0.388
0.803 0.197 0.612
0.803 0.197 0.888
0.281 0.719 0.750
0.719 0.281 0.250

---

(2)
ZnHgS2 | the Alexandria database | PBE | relaxed; total moment = 0.00 μB/atom; formation energy without anion corrections = -0.06 eV/atom; SG = I4/mcm, No. 140; total energy = -2.5195 eV/atom; V = 156.7 Å³/cell
1.0
-3.522 3.522 3.158
3.522 -3.522 3.158
3.522 3.522 -3.158
Zn Hg S
2 2 4
Direct
0.250 0.750 0.500
0.750 0.250 0.500
0.250 0.250 0.000
0.750 0.750 0.000
0.179 0.679 0.858
0.321 0.179 0.500
0.679 0.821 0.500
0.821 0.321 0.142

---

(3)
GaCu3Os | the Alexandria database | PBE | relaxed; total moment = 0.00 μB/atom; SG = Pm-3m, No. 221; total energy = -4.0242 eV/atom; calculated formation energy = 1285 meV per atom; V = 102.8 Å³/cell
1.0
4.684 0.000 0.000
0.000 4.684 0.000
0.000 0.000 4.684
Ga Cu Os
1 3 1
Direct
0.000 0.000 0.000
0.000 0.500 0.500
0.500 0.000 0.500
0.500 0.500 0.000
0.500 0.500 0.500

---

(4)
Li5Mg4Sn | the Alexandria database | PBE | relaxed; total moment = 0.00 μB/atom; SG = I4mm, No. 107; total energy = -2.0285 eV/atom; calculated formation energy = -33 meV per atom; V = 214.5 Å³/cell
1.0
-4.579 4.579 2.557
4.579 -4.579 2.557
4.579 4.579 -2.557
Li Mg Sn
5 4 1
Direct
0.000 0.000 0.000
0.576 0.576 0.633
0.576 0.943 0.000
0.943 0.576 0.000
0.943 0.943 0.367
0.284 0.609 0.324
0.284 0.960 0.676
0.609 0.284 0.324
0.960 0.284 0.676
0.484 0.484 0.000

---

(5)
NaNiGe2 | the Alexandria database | PBE | relaxed; total moment = 0.00 μB/atom; SG = Fm-3m, No. 225; total energy = -3.9622 eV/atom; calculated formation energy = 122 meV per atom; V = 64.1 Å³/cell
1.0
0.000 3.176 3.176
3.176 0.000 3.176
3.176 3.176 0.000
Na Ni Ge
1 1 2
Direct
0.000 0.000 0.000
0.500 0.500 0.500
0.250 0.250 0.250
0.750 0.750 0.750

---

(6)
Na2ScIr | the Alexandria database | PBE | relaxed; total moment = 0.00 μB/atom; SG = Fm-3m, No. 225; total energy = -3.9481 eV/atom; calculated formation energy = 510 meV per atom; V = 78.1 Å³/cell
1.0
0.000 3.393 3.393
3.393 0.000 3.393
3.393 3.393 0.000
Na Sc Ir
2 1 1
Direct
0.250 0.250 0.250
0.750 0.750 0.750
0.000 0.000 0.000
0.500 0.500 0.500

---

Repeat the fifth record exactly.
NaNiGe2 | the Alexandria database | PBE | relaxed; total moment = 0.00 μB/atom; SG = Fm-3m, No. 225; total energy = -3.9622 eV/atom; calculated formation energy = 122 meV per atom; V = 64.1 Å³/cell
1.0
0.000 3.176 3.176
3.176 0.000 3.176
3.176 3.176 0.000
Na Ni Ge
1 1 2
Direct
0.000 0.000 0.000
0.500 0.500 0.500
0.250 0.250 0.250
0.750 0.750 0.750

---

> The lowest total energy belongs to which entry?

Tb5Bi2Pb